Entry 1:
Density functional theory data (GGA-PBE) for an optimized crystal structure of RbGeIr.

## Properties
The calculation puts the formation energy at -0.272 eV per atom. As for the total energy: -15.3 eV per formula unit. For the size of the total moment, the calculation gives 0.0 μB per cell.

Cell lengths 4.198, 4.198, 11.109 Å; angles 90.00, 90.00, 90.00 degrees
Sites, in units of the cell vectors:
1 Rb 0.250 0.250 0.217
2 Rb 0.750 0.750 0.783
3 Ge 0.250 0.250 0.619
4 Ge 0.750 0.750 0.381
5 Ir 0.250 0.750 0.500
6 Ir 0.750 0.250 0.500

---

Entry 2:
Density functional theory data (GGA-PBE) for an optimized crystal structure of RbSnGeIr.

## Properties
The calculation puts the formation energy at -0.175 eV per atom. As for the total energy: -19.2 eV per formula unit. For the size of the total moment, the calculation gives 0.0 μB per cell.

Cell lengths 4.166, 4.166, 13.798 Å; angles 90.00, 90.00, 90.00 degrees
Sites, in units of the cell vectors:
1 Rb 0.250 0.250 0.242
2 Rb 0.750 0.750 0.758
3 Sn 0.250 0.750 0.500
4 Sn 0.750 0.250 0.500
5 Ge 0.250 0.250 0.901
6 Ge 0.750 0.750 0.099
7 Ir 0.250 0.750 0.000
8 Ir 0.750 0.250 0.000

---

Entry 3:
Density functional theory data (GGA-PBE) for an optimized crystal structure of Rb2SnGeIr.

## Properties
The calculation puts the formation energy at 0.536 eV per atom. As for the total energy: -16.7 eV per formula unit. For the size of the total moment, the calculation gives 0.5 μB per cell.

Cell lengths 6.538, 6.538, 4.607 Å; angles 90.00, 90.00, 90.00 degrees
Sites, in units of the cell vectors:
1 Rb 0.000 0.500 0.000
2 Rb 0.500 0.000 0.000
3 Sn 0.000 0.000 0.500
4 Ge 0.500 0.500 0.000
5 Ir 0.500 0.500 0.500

---

Entry 4:
Density functional theory data (GGA-PBE) for an optimized crystal structure of RbGeIrW2.

## Properties
The calculation puts the formation energy at 3.810 eV per atom. As for the total energy: -21.3 eV per formula unit. For the size of the total moment, the calculation gives 2.5 μB per cell.

Cell lengths 4.836, 4.836, 4.777 Å; angles 90.00, 90.00, 90.00 degrees
Sites, in units of the cell vectors:
1 Rb 0.000 0.000 0.000
2 Ge 0.500 0.500 0.500
3 Ir 0.000 0.000 0.500
4 W 0.000 0.500 0.000
5 W 0.500 0.000 0.000

---

Entry 5:
Density functional theory data (GGA-PBE) for an optimized crystal structure of RbZn2GeIr.

## Properties
The calculation puts the formation energy at -0.185 eV per atom. As for the total energy: -17.9 eV per formula unit. For the size of the total moment, the calculation gives 0.0 μB per cell.

Cell lengths 5.041, 5.041, 4.708 Å; angles 90.00, 90.00, 90.00 degrees
Sites, in units of the cell vectors:
1 Rb 0.000 0.000 0.000
2 Zn 0.000 0.500 0.500
3 Zn 0.500 0.000 0.500
4 Ge 0.500 0.500 0.000
5 Ir 0.500 0.500 0.500

---

Entry 6:
Density functional theory data (GGA-PBE) for an optimized crystal structure of RbZrGeIr2.

## Properties
The calculation puts the formation energy at 2.588 eV per atom. As for the total energy: -18.9 eV per formula unit. For the size of the total moment, the calculation gives 0.0 μB per cell.

Cell lengths 4.832, 4.832, 5.002 Å; angles 90.00, 90.00, 90.00 degrees
Sites, in units of the cell vectors:
1 Rb 0.000 0.000 0.000
2 Zr 0.000 0.000 0.500
3 Ge 0.500 0.500 0.500
4 Ir 0.000 0.500 0.000
5 Ir 0.500 0.000 0.000

---

Entry 7:
Density functional theory data (GGA-PBE) for an optimized crystal structure of ReGeIr2.

## Properties
The calculation puts the formation energy at 0.598 eV per atom. As for the total energy: -32.4 eV per formula unit. For the size of the total moment, the calculation gives 0.0 μB per cell.

Cell lengths 6.921, 6.921, 6.921 Å; angles 133.07, 133.07, 68.54 degrees
Sites, in units of the cell vectors:
1 Re 0.000 0.000 0.000
2 Re 0.750 0.250 0.500
3 Ge 0.250 0.750 0.500
4 Ge 0.500 0.500 0.000
5 Ir 0.122 0.625 0.997
6 Ir 0.375 0.372 0.497
7 Ir 0.628 0.125 0.003
8 Ir 0.875 0.878 0.503

---

Entry 8:
Density functional theory data (GGA-PBE) for an optimized crystal structure of ReGeSbIr2.

## Properties
As for the total energy: -33.3 eV per formula unit. For the size of the total moment, the calculation gives 0.0 μB per cell.

Cell lengths 4.821, 4.821, 4.739 Å; angles 90.00, 90.00, 90.00 degrees
Sites, in units of the cell vectors:
1 Re 0.000 0.000 0.000
2 Ge 0.000 0.000 0.500
3 Sb 0.500 0.500 0.500
4 Ir 0.000 0.500 0.000
5 Ir 0.500 0.000 0.000

---

Entry 9:
Density functional theory data (GGA-PBE) for an optimized crystal structure of Y2ReGeIr.

## Properties
The calculation puts the formation energy at 0.783 eV per atom. As for the total energy: -34.9 eV per formula unit. For the size of the total moment, the calculation gives 0.7 μB per cell.

Cell lengths 5.281, 5.281, 4.404 Å; angles 90.00, 90.00, 90.00 degrees
Sites, in units of the cell vectors:
1 Y 0.000 0.500 0.000
2 Y 0.500 0.000 0.000
3 Re 0.000 0.000 0.500
4 Ge 0.500 0.500 0.000
5 Ir 0.500 0.500 0.500

---

Entry 10:
Density functional theory data (GGA-PBE) for an optimized crystal structure of Ge6Ir3Rh.

## Properties
The calculation puts the formation energy at -0.247 eV per atom. As for the energy above the lowest structure with this stoichiometry: 4 meV/atom. As for the total energy: -64.1 eV per formula unit. For the size of the total moment, the calculation gives 0.0 μB per cell.

Cell lengths 11.523, 2.981, 11.640 Å; angles 90.00, 119.10, 90.00 degrees
Sites, in units of the cell vectors:
1 Ge 0.032 0.250 0.412
2 Ge 0.063 0.750 0.854
3 Ge 0.243 0.250 0.195
4 Ge 0.306 0.250 0.798
5 Ge 0.374 0.750 0.552
6 Ge 0.446 0.750 0.151
7 Ge 0.554 0.250 0.849
8 Ge 0.626 0.250 0.448
9 Ge 0.694 0.750 0.202
10 Ge 0.757 0.750 0.805
11 Ge 0.937 0.250 0.146
12 Ge 0.968 0.750 0.588
13 Ir 0.192 0.750 0.597
14 Ir 0.254 0.250 0.984
15 Ir 0.426 0.750 0.365
16 Ir 0.574 0.250 0.635
17 Ir 0.746 0.750 0.016
18 Ir 0.808 0.250 0.403
19 Rh 0.130 0.750 0.295
20 Rh 0.870 0.250 0.705

---

Entry 11:
Density functional theory data (GGA-PBE) for an optimized crystal structure of GeIr3Rh.

## Properties
The calculation puts the formation energy at 1.865 eV per atom. As for the energy above the lowest structure with this stoichiometry: 473 meV/atom. As for the total energy: -29.2 eV per formula unit. For the size of the total moment, the calculation gives 0.0 μB per cell.

Cell lengths 4.723, 4.723, 4.723 Å; angles 90.00, 90.00, 90.00 degrees
Sites, in units of the cell vectors:
1 Ge 0.000 0.000 0.000
2 Ir 0.000 0.500 0.500
3 Ir 0.500 0.000 0.500
4 Ir 0.500 0.500 0.000
5 Rh 0.500 0.500 0.500

---

Entry 12:
Density functional theory data (GGA-PBE) for an optimized crystal structure of Ge2IrRh2.

## Properties
The calculation puts the formation energy at -0.205 eV per atom. As for the energy above the lowest structure with this stoichiometry: 0 meV/atom. As for the total energy: -33.8 eV per formula unit. For the size of the total moment, the calculation gives 0.0 μB per cell.

Cell lengths 7.089, 7.089, 2.915 Å; angles 90.00, 90.00, 90.00 degrees
Sites, in units of the cell vectors:
1 Ge 0.156 0.344 0.000
2 Ge 0.344 0.844 0.000
3 Ge 0.656 0.156 0.000
4 Ge 0.844 0.656 0.000
5 Ir 0.000 0.000 0.000
6 Ir 0.500 0.500 0.000
7 Rh 0.143 0.643 0.500
8 Rh 0.357 0.143 0.500
9 Rh 0.643 0.857 0.500
10 Rh 0.857 0.357 0.500

---

Entry 13:
Density functional theory data (GGA-PBE) for an optimized crystal structure of GeIrRh2.

## Properties
The calculation puts the formation energy at 0.241 eV per atom. As for the total energy: -27.2 eV per formula unit. For the size of the total moment, the calculation gives 0.0 μB per cell.

Cell lengths 9.381, 9.381, 9.381 Å; angles 156.98, 156.98, 32.79 degrees
Sites, in units of the cell vectors:
1 Ge 0.000 0.000 0.000
2 Ge 0.750 0.250 0.500
3 Ir 0.250 0.750 0.500
4 Ir 0.500 0.500 0.000
5 Rh 0.126 0.625 0.001
6 Rh 0.375 0.376 0.501
7 Rh 0.624 0.125 0.999
8 Rh 0.875 0.874 0.499

---

Entry 14:
Density functional theory data (GGA-PBE) for an optimized crystal structure of Ge4IrRh2.

## Properties
The calculation puts the formation energy at -0.383 eV per atom. As for the total energy: -44.7 eV per formula unit. For the size of the total moment, the calculation gives 0.0 μB per cell.

Cell lengths 6.452, 6.452, 6.357 Å; angles 113.61, 113.61, 31.11 degrees
Sites, in units of the cell vectors:
1 Ge 0.098 0.098 0.301
2 Ge 0.343 0.343 0.148
3 Ge 0.657 0.657 0.852
4 Ge 0.902 0.902 0.699
5 Ir 0.500 0.500 0.000
6 Rh 0.245 0.245 0.694
7 Rh 0.755 0.755 0.306

---

Entry 15:
Density functional theory data (GGA-PBE) for an optimized crystal structure of GeIrRh2.

## Properties
The calculation puts the formation energy at -0.122 eV per atom. As for the total energy: -28.7 eV per formula unit. For the size of the total moment, the calculation gives 0.0 μB per cell.

Cell lengths 3.853, 3.853, 3.885 Å; angles 90.00, 90.00, 90.00 degrees
Sites, in units of the cell vectors:
1 Ge 0.000 0.000 0.000
2 Ir 0.500 0.500 0.000
3 Rh 0.000 0.500 0.500
4 Rh 0.500 0.000 0.500

---

Entry 16:
Density functional theory data (GGA-PBE) for an optimized crystal structure of Ge3Ir2Rh.

## Properties
The calculation puts the formation energy at -0.162 eV per atom. As for the total energy: -39.9 eV per formula unit. For the size of the total moment, the calculation gives 0.0 μB per cell.

Cell lengths 6.997, 6.997, 9.205 Å; angles 90.00, 90.00, 155.79 degrees
Sites, in units of the cell vectors:
1 Ge 0.105 0.895 0.750
2 Ge 0.340 0.660 0.534
3 Ge 0.340 0.660 0.966
4 Ge 0.660 0.340 0.034
5 Ge 0.660 0.340 0.466
6 Ge 0.895 0.105 0.250
7 Ir 0.000 0.000 0.000
8 Ir 0.000 0.000 0.500
9 Ir 0.453 0.547 0.750
10 Ir 0.547 0.453 0.250
11 Rh 0.243 0.757 0.250
12 Rh 0.757 0.243 0.750

---

Entry 17:
Density functional theory data (GGA-PBE) for an optimized crystal structure of GeIr3Rh.

## Properties
The calculation puts the formation energy at 1.391 eV per atom. As for the energy above the lowest structure with this stoichiometry: 0 meV/atom. As for the total energy: -31.6 eV per formula unit. For the size of the total moment, the calculation gives 2.5 μB per cell.

Cell lengths 4.516, 4.516, 4.516 Å; angles 90.00, 90.00, 90.00 degrees
Sites, in units of the cell vectors:
1 Ge 0.000 0.000 0.000
2 Ir 0.000 0.000 0.500
3 Ir 0.000 0.500 0.000
4 Ir 0.500 0.000 0.000
5 Rh 0.500 0.500 0.500

---

Entry 18:
Density functional theory data (GGA-PBE) for an optimized crystal structure of GeIrRh3.

## Properties
The calculation puts the formation energy at 1.024 eV per atom. As for the energy above the lowest structure with this stoichiometry: 0 meV/atom. As for the total energy: -30.4 eV per formula unit. For the size of the total moment, the calculation gives 0.9 μB per cell.

Cell lengths 4.454, 4.454, 4.454 Å; angles 90.00, 90.00, 90.00 degrees
Sites, in units of the cell vectors:
1 Ge 0.000 0.000 0.000
2 Ir 0.500 0.500 0.500
3 Rh 0.000 0.000 0.500
4 Rh 0.000 0.500 0.000
5 Rh 0.500 0.000 0.000

---

Entry 19:
Density functional theory data (GGA-PBE) for an optimized crystal structure of Ge6Ir2Rh.

## Properties
The calculation puts the formation energy at -0.170 eV per atom. As for the total energy: -54.3 eV per formula unit. For the size of the total moment, the calculation gives 0.0 μB per cell.

Cell lengths 6.187, 6.256, 8.655 Å; angles 90.00, 110.24, 90.00 degrees
Sites, in units of the cell vectors:
1 Ge 0.087 0.163 0.410
2 Ge 0.087 0.337 0.910
3 Ge 0.218 0.688 0.411
4 Ge 0.218 0.812 0.911
5 Ge 0.379 0.009 0.192
6 Ge 0.379 0.491 0.692
7 Ge 0.621 0.509 0.308
8 Ge 0.621 0.991 0.808
9 Ge 0.782 0.188 0.089
10 Ge 0.782 0.312 0.589
11 Ge 0.913 0.663 0.090
12 Ge 0.913 0.837 0.590
13 Ir 0.219 0.126 0.715
14 Ir 0.219 0.374 0.215
15 Ir 0.781 0.626 0.785
16 Ir 0.781 0.874 0.285
17 Rh 0.500 0.000 0.500
18 Rh 0.500 0.500 0.000

---

Entry 20:
Density functional theory data (GGA-PBE) for an optimized crystal structure of Ge2Ir2Rh.

## Properties
The calculation puts the formation energy at -0.041 eV per atom. As for the energy above the lowest structure with this stoichiometry: 57 meV/atom. As for the total energy: -34.5 eV per formula unit. For the size of the total moment, the calculation gives 0.0 μB per cell.

Cell lengths 7.271, 7.271, 2.863 Å; angles 90.00, 90.00, 90.00 degrees
Sites, in units of the cell vectors:
1 Ge 0.160 0.340 0.000
2 Ge 0.340 0.840 0.000
3 Ge 0.660 0.160 0.000
4 Ge 0.840 0.660 0.000
5 Ir 0.140 0.640 0.500
6 Ir 0.360 0.140 0.500
7 Ir 0.640 0.860 0.500
8 Ir 0.860 0.360 0.500
9 Rh 0.000 0.000 0.500
10 Rh 0.500 0.500 0.500

---

Entry 21:
Density functional theory data (GGA-PBE) for an optimized crystal structure of Ge2IrRh2.

## Properties
The calculation puts the formation energy at -0.089 eV per atom. As for the energy above the lowest structure with this stoichiometry: 116 meV/atom. As for the total energy: -33.2 eV per formula unit. For the size of the total moment, the calculation gives 0.9 μB per cell.

Cell lengths 7.260, 7.260, 2.823 Å; angles 90.00, 90.00, 90.00 degrees
Sites, in units of the cell vectors:
1 Ge 0.162 0.338 0.000
2 Ge 0.338 0.838 0.000
3 Ge 0.662 0.162 0.000
4 Ge 0.838 0.662 0.000
5 Ir 0.000 0.000 0.500
6 Ir 0.500 0.500 0.500
7 Rh 0.139 0.639 0.500
8 Rh 0.361 0.139 0.500
9 Rh 0.639 0.861 0.500
10 Rh 0.861 0.361 0.500

---

Entry 22:
Density functional theory data (GGA-PBE) for an optimized crystal structure of Ge5Ir2Rh2.

## Properties
The calculation puts the formation energy at -0.289 eV per atom. As for the total energy: -58.1 eV per formula unit. For the size of the total moment, the calculation gives 0.0 μB per cell.

Cell lengths 8.589, 8.589, 8.589 Å; angles 63.32, 137.33, 135.53 degrees
Sites, in units of the cell vectors:
1 Ge 0.160 0.073 0.233
2 Ge 0.160 0.427 0.587
3 Ge 0.205 0.107 0.598
4 Ge 0.509 0.607 0.402
5 Ge 0.534 0.027 0.187
6 Ge 0.534 0.847 0.007
7 Ge 0.840 0.347 0.813
8 Ge 0.840 0.527 0.993
9 Ge 0.840 0.573 0.413
10 Ge 0.840 0.927 0.767
11 Ir 0.018 0.754 0.764
12 Ir 0.693 0.193 0.500
13 Ir 0.693 0.693 0.000
14 Ir 0.990 0.254 0.236
15 Rh 0.319 0.426 0.087
16 Rh 0.319 0.732 0.393
17 Rh 0.339 0.232 0.913
18 Rh 0.339 0.926 0.607

---

Entry 23:
Density functional theory data (GGA-PBE) for an optimized crystal structure of Ge2Ir2Rh.

## Properties
The calculation puts the formation energy at -0.098 eV per atom. As for the energy above the lowest structure with this stoichiometry: 0 meV/atom. As for the total energy: -34.8 eV per formula unit. For the size of the total moment, the calculation gives 0.0 μB per cell.

Cell lengths 7.206, 7.206, 2.880 Å; angles 90.00, 90.00, 90.00 degrees
Sites, in units of the cell vectors:
1 Ge 0.156 0.344 0.000
2 Ge 0.344 0.844 0.000
3 Ge 0.656 0.156 0.000
4 Ge 0.844 0.656 0.000
5 Ir 0.142 0.642 0.500
6 Ir 0.358 0.142 0.500
7 Ir 0.642 0.858 0.500
8 Ir 0.858 0.358 0.500
9 Rh 0.000 0.000 0.000
10 Rh 0.500 0.500 0.000